Record 1
This record from Alexandria via LeMat-Bulk describes a relaxed structure of CeHoIn2Se4. The functional is GGA-PBE.

Cell and atoms, written as extended XYZ:
```
8
Lattice="7.320 0.000 0.000 0.000 4.220 0.000 -2.417 0.000 7.727" Properties=species:S:1:pos:R:3 pbc="T T T"
Ce 0.000 0.000 0.000
Ho 3.660 2.110 0.000
In -1.208 2.110 3.864
In 2.452 0.000 3.864
Se 1.289 2.110 1.639
Se 0.082 0.000 6.119
Se 4.821 0.000 1.608
Se 3.615 2.110 6.089
```

## Properties
For the calculated volume, the calculation gives 238.7 Å³/cell. The value obtained for the total energy is -4.998 eV per atom. As for the crystal system: monoclinic. Its symmetry is P2/m, No. 10.

Record 2
This record from Alexandria via LeMat-Bulk describes a relaxed structure of NaMg2H. The functional is GGA-PBE.

Cell and atoms, written as extended XYZ:
```
4
Lattice="0.000 3.511 3.511 3.511 0.000 3.511 3.511 3.511 0.000" Properties=species:S:1:pos:R:3 pbc="T T T"
Na 0.000 0.000 0.000
Mg 1.756 1.756 1.756
Mg 5.267 5.267 5.267
H 3.511 3.511 3.511
```

## Properties
For the calculated volume, the calculation gives 86.6 Å³/cell. As for the crystal system: cubic. Its symmetry is Fm-3m, No. 225. The polymorph energy (0 for the lowest one) comes out at 453.3 meV/atom.

Record 3
This record from Alexandria via LeMat-Bulk describes a relaxed structure of MgRhF. The functional is GGA-PBE.

Cell and atoms, written as extended XYZ:
```
6
Lattice="2.860 0.000 0.000 0.000 6.781 0.000 0.000 0.000 4.454" Properties=species:S:1:pos:R:3 pbc="T T T"
Mg 0.000 1.244 0.000
Mg 1.430 5.538 2.227
Rh 0.000 3.256 2.186
Rh 1.430 3.525 4.413
F 0.000 6.692 2.948
F 1.430 0.089 0.721
```

## Properties
For the calculated volume, the calculation gives 86.4 Å³/cell. As for the crystal system: orthorhombic. Its symmetry is Pmn2_1, No. 31. The polymorph energy (0 for the lowest one) comes out at 0.0 meV/atom.